{"formula": "TlAsN2", "functional": "PBE", "state": "relaxed", "sg": "I-42d", "final_energy_ev_per_cell": -42.7, "crystal_system": "tetragonal", "polymorph_energy_mev_per_atom": 0, "e_form_raw_mev_per_atom": 580.8, "lattice": [[-2.8952, 2.8952, 3.8117], [2.8952, -2.8952, 3.8117], [2.8952, 2.8952, -3.8117]], "species": ["Tl", "Tl", "As", "As", "N", "N", "N", "N"], "fractional_positions": [[0.0000, 0.0000, 0.0000], [0.7500, 0.2500, 0.5000], [0.2500, 0.7500, 0.5000], [0.5000, 0.5000, 0.0000], [0.2658, 0.1250, 0.6408], [0.3750, 0.7342, 0.8592], [0.4842, 0.6250, 0.3592], [0.8750, 0.5158, 0.1408]]}